[1]
4
Lattice="-1.7066 -3.5151 1.4809 2.7601 -2.2578 -2.1785 2.8334 0.0952 3.4912" Properties=species:S:1:pos:R:3 comment="BaMnOs2 PBE relaxed" vol_a3_per_cell=78.5 density_g_cm3=12.1 e_form_ev_per_atom=1.488 spacegroup=P4/mmm pbc="T T T"
Ba 0.5634 -1.7100 2.4861
Mn 2.7967 -1.0813 0.6564
Os 0.0000 0.0000 0.0000
Os 0.5267 -2.8865 -0.3488

[2]
4
Lattice="3.0619 0.0012 0.0000 -0.0017 3.0619 0.0000 0.0000 0.0000 8.0197" Properties=species:S:1:pos:R:3 comment="BaMnOs2 PBE relaxed" vol_a3_per_cell=75.2 density_g_cm3=12.6 e_form_ev_per_atom=0.733 spacegroup=P4/mmm pbc="T T T"
Ba 1.5301 1.5316 2.0049
Mn 1.5301 1.5316 6.0147
Os 0.0000 0.0000 7.3759
Os 0.0000 0.0000 4.6536

[3]
4
Lattice="-2.9744 -3.9341 -1.2615 1.3276 -3.8424 3.0641 -1.2502 4.8010 1.1416" Properties=species:S:1:pos:R:3 comment="BaMnOs2 PBE relaxed" vol_a3_per_cell=75.9 density_g_cm3=12.5 e_form_ev_per_atom=1.441 spacegroup=I4/mmm pbc="T T T"
Ba -0.3730 -1.4649 2.5536
Mn -2.5240 -1.5107 0.3907
Os 0.0000 0.0000 0.0000
Os -0.8234 -3.8882 0.9013

[4]
4
Lattice="4.7472 0.0000 0.0000 2.3736 4.1112 0.0000 2.3736 1.3704 3.8760" Properties=species:S:1:pos:R:3 comment="BaMnOs2 PBE relaxed" vol_a3_per_cell=75.6 density_g_cm3=12.6 e_form_ev_per_atom=1.460 spacegroup=Fm-3m pbc="T T T"
Ba 0.0000 0.0000 0.0000
Mn 4.7472 2.7408 1.9380
Os 2.3736 1.3704 0.9690
Os 7.1208 4.1112 2.9070

[5]
5
Lattice="5.0369 0.0000 0.0000 0.0000 5.0369 0.0000 0.0000 0.0000 5.0369" Properties=species:S:1:pos:R:3 comment="BaMnOs3 PBE relaxed" vol_a3_per_cell=127.8 density_g_cm3=9.9 e_form_ev_per_atom=3.712 spacegroup=Pm-3m pbc="T T T"
Mn 2.5184 2.5184 2.5184
Os 0.0000 2.5184 0.0000
Os 0.0000 0.0000 2.5184
Os 2.5184 0.0000 0.0000
Ba 0.0000 0.0000 0.0000

[6]
6
Lattice="4.7580 -2.0550 1.5397 3.6386 3.1541 2.4587 1.0710 -0.6967 5.2536" Properties=species:S:1:pos:R:3 comment="BaMnOs4 PBE relaxed" vol_a3_per_cell=111.8 density_g_cm3=14.2 e_form_ev_per_atom=0.878 spacegroup=F-43m pbc="T T T"
Ba 7.1007 0.3018 6.9389
Mn 0.0000 0.0000 0.0000
Os 5.9388 -0.8851 4.2363
Os 4.0807 -0.2006 6.1078
Os 5.3746 1.7400 4.6994
Os 3.5410 0.1505 3.4604